# 1
SmAl2CdAu5 | GGA-PBE | relaxed

a = 4.837 Å, b = 4.837 Å, c = 7.992 Å
α = 90.00°, β = 90.00°, γ = 90.00°
Sites, in units of the cell vectors:
Al (0.500, 0.500, 0.840)
Al (0.500, 0.500, 0.160)
Sm (0.000, 0.000, 0.500)
Au (0.500, 0.000, 0.263)
Au (0.000, 0.500, 0.263)
Au (0.000, 0.500, 0.737)
Au (0.500, 0.500, 0.500)
Au (0.500, 0.000, 0.737)
Cd (0.000, 0.000, 0.000)

Computed properties:
The energy relative to the elements comes out at -0.369 eV/atom. As for the final energy: -3.648 eV/atom. For the density of states at the Fermi level, the calculation gives 0.439 states/eV per atom. As for the crystal system: tetragonal.

---

# 2
Sm2Al3CdAu4 | GGA-PBE | relaxed

a = 4.419 Å, b = 4.419 Å, c = 10.812 Å
α = 90.00°, β = 90.00°, γ = 90.00°
Sites, in units of the cell vectors:
Al (0.000, 0.500, 0.124)
Al (0.500, 0.000, 0.876)
Al (0.000, 0.000, 0.500)
Cd (0.500, 0.500, 0.500)
Au (0.000, 0.500, 0.352)
Au (0.500, 0.500, 0.000)
Au (0.000, 0.000, 0.000)
Au (0.500, 0.000, 0.648)
Sm (0.000, 0.500, 0.757)
Sm (0.500, 0.000, 0.243)

Computed properties:
The energy relative to the elements comes out at -0.636 eV/atom. As for the final energy: -4.105 eV/atom. For the density of states at the Fermi level, the calculation gives 0.655 states/eV per atom. As for the crystal system: tetragonal.

---

# 3
SmAl2CdAu4 | GGA-PBE | relaxed

a = 4.418 Å, b = 4.418 Å, c = 9.969 Å
α = 77.20°, β = 77.20°, γ = 60.00°
Sites, in units of the cell vectors:
Au (0.117, 0.117, 0.649)
Au (0.394, 0.394, 0.817)
Au (0.883, 0.883, 0.351)
Au (0.606, 0.606, 0.183)
Al (0.247, 0.247, 0.259)
Al (0.753, 0.753, 0.741)
Sm (0.000, 0.000, 0.000)
Cd (0.500, 0.500, 0.500)

Computed properties:
The energy relative to the elements comes out at -0.481 eV/atom. As for the final energy: -3.760 eV/atom. For the density of states at the Fermi level, the calculation gives 0.612 states/eV per atom. As for the crystal system: trigonal.